{
  "formula": "Fe4NiIr",
  "functional": "GGA-PBE",
  "state": "relaxed",
  "cell": [[4.356, 0.000, 0.000], [1.053, 4.969, 0.000], [0.915, 0.704, 6.752]],
  "species": ["Fe", "Fe", "Fe", "Fe", "Fe", "Fe", "Fe", "Fe", "Ni", "Ni", "Ir", "Ir"],
  "fractional_positions": [[0.224, 0.000, 0.254], [0.243, 0.497, 0.258], [0.254, 0.344, 0.922], [0.265, 0.839, 0.923], [0.735, 0.161, 0.077], [0.746, 0.656, 0.078], [0.757, 0.503, 0.742], [0.776, 0.000, 0.746], [0.245, 0.667, 0.591], [0.755, 0.333, 0.409], [0.265, 0.167, 0.590], [0.735, 0.833, 0.410]],
  "total_energy_ev_per_cell": -96.7,
  "e_above_lowest_polymorph_ev_per_atom": 0.000,
  "crystal_system": "triclinic"
}

=====

{
  "formula": "Fe2Ni5Ir2",
  "functional": "GGA-PBE",
  "state": "relaxed",
  "cell": [[2.620, 0.000, 0.000], [-0.001, 6.433, 0.000], [-1.304, -1.556, 6.458]],
  "species": ["Fe", "Fe", "Ni", "Ni", "Ni", "Ni", "Ni", "Ir", "Ir"],
  "fractional_positions": [[0.158, 0.494, 0.317], [0.842, 0.506, 0.683], [0.087, 0.827, 0.174], [0.428, 0.833, 0.855], [0.500, 0.500, 0.000], [0.572, 0.167, 0.145], [0.913, 0.173, 0.826], [0.242, 0.176, 0.484], [0.758, 0.824, 0.516]],
  "total_energy_ev_per_cell": -63.6,
  "crystal_system": "triclinic"
}

=====

{
  "formula": "Fe5Ni5Ir2",
  "functional": "GGA-PBE",
  "state": "relaxed",
  "cell": [[5.497, -1.849, 0.000], [5.497, 1.849, 0.000], [-3.615, 0.000, 7.076]],
  "species": ["Fe", "Fe", "Fe", "Fe", "Fe", "Ni", "Ni", "Ni", "Ni", "Ni", "Ir", "Ir"],
  "fractional_positions": [[0.000, 0.000, 0.000], [0.082, 0.082, 0.757], [0.244, 0.244, 0.240], [0.756, 0.756, 0.760], [0.918, 0.918, 0.243], [0.333, 0.333, 0.002], [0.422, 0.422, 0.759], [0.500, 0.500, 0.500], [0.578, 0.578, 0.241], [0.667, 0.667, 0.998], [0.164, 0.164, 0.504], [0.836, 0.836, 0.496]],
  "total_energy_ev_per_cell": -89.2,
  "crystal_system": "monoclinic"
}